# C GGA-PBE optimized geometry
# DFT formation energy in kJ/mol of formula units: 160
data_C
_chemical_formula_sum 'C54'
_symmetry_space_group_name_H-M 'P 1'
_symmetry_Int_Tables_number 1
_cell_length_a 6.8735
_cell_length_b 6.8735
_cell_length_c 6.8735
_cell_angle_alpha 90.00
_cell_angle_beta 90.00
_cell_angle_gamma 90.00
loop_
_symmetry_equiv_pos_as_xyz
'x,y,z'
loop_
_atom_site_label
_atom_site_type_symbol
_atom_site_fract_x
_atom_site_fract_y
_atom_site_fract_z
C1 C 0.0000 0.0000 0.0000
C2 C 0.0000 0.1222 0.3048
C3 C 0.0000 0.1222 0.6952
C4 C 0.0000 0.2500 0.5000
C5 C 0.0000 0.5000 0.2500
C6 C 0.0000 0.5000 0.7500
C7 C 0.0000 0.7500 0.5000
C8 C 0.0000 0.8778 0.3048
C9 C 0.0000 0.8778 0.6952
C10 C 0.1222 0.3048 0.0000
C11 C 0.1222 0.6952 0.0000
C12 C 0.1848 0.1848 0.1848
C13 C 0.1848 0.1848 0.8152
C14 C 0.1848 0.8152 0.1848
C15 C 0.1848 0.8152 0.8152
C16 C 0.1952 0.3778 0.5000
C17 C 0.1952 0.6222 0.5000
C18 C 0.2500 0.0000 0.5000
C19 C 0.2500 0.5000 0.0000
C20 C 0.3048 0.0000 0.1222
C21 C 0.3048 0.0000 0.8778
C22 C 0.3152 0.3152 0.3152
C23 C 0.3152 0.3152 0.6848
C24 C 0.3152 0.6848 0.3152
C25 C 0.3152 0.6848 0.6848
C26 C 0.3778 0.5000 0.1952
C27 C 0.3778 0.5000 0.8048
C28 C 0.5000 0.0000 0.2500
C29 C 0.5000 0.0000 0.7500
C30 C 0.5000 0.1952 0.3778
C31 C 0.5000 0.1952 0.6222
C32 C 0.5000 0.2500 0.0000
C33 C 0.5000 0.5000 0.5000
C34 C 0.5000 0.7500 0.0000
C35 C 0.5000 0.8048 0.3778
C36 C 0.5000 0.8048 0.6222
C37 C 0.6222 0.5000 0.1952
C38 C 0.6222 0.5000 0.8048
C39 C 0.6848 0.3152 0.3152
C40 C 0.6848 0.3152 0.6848
C41 C 0.6848 0.6848 0.3152
C42 C 0.6848 0.6848 0.6848
C43 C 0.6952 0.0000 0.1222
C44 C 0.6952 0.0000 0.8778
C45 C 0.7500 0.0000 0.5000
C46 C 0.7500 0.5000 0.0000
C47 C 0.8048 0.3778 0.5000
C48 C 0.8048 0.6222 0.5000
C49 C 0.8152 0.1848 0.1848
C50 C 0.8152 0.1848 0.8152
C51 C 0.8152 0.8152 0.1848
C52 C 0.8152 0.8152 0.8152
C53 C 0.8778 0.3048 0.0000
C54 C 0.8778 0.6952 0.0000



# C GGA-PBE optimized geometry
# DFT formation energy in kJ/mol of formula units: 247
data_C
_chemical_formula_sum 'C2'
_symmetry_space_group_name_H-M 'P 1'
_symmetry_Int_Tables_number 1
_cell_length_a 1.6197
_cell_length_b 1.6197
_cell_length_c 6.6902
_cell_angle_alpha 90.00
_cell_angle_beta 90.00
_cell_angle_gamma 90.00
loop_
_symmetry_equiv_pos_as_xyz
'x,y,z'
loop_
_atom_site_label
_atom_site_type_symbol
_atom_site_fract_x
_atom_site_fract_y
_atom_site_fract_z
C1 C 0.0203 0.9797 0.7500
C2 C 0.9797 0.0203 0.2500



# C GGA-PBE optimized geometry
# DFT formation energy in kJ/mol of formula units: 15
data_C
_chemical_formula_sum 'C10'
_symmetry_space_group_name_H-M 'P 1'
_symmetry_Int_Tables_number 1
_cell_length_a 10.4702
_cell_length_b 10.4702
_cell_length_c 10.4702
_cell_angle_alpha 13.84
_cell_angle_beta 13.84
_cell_angle_gamma 13.84
loop_
_symmetry_equiv_pos_as_xyz
'x,y,z'
loop_
_atom_site_label
_atom_site_type_symbol
_atom_site_fract_x
_atom_site_fract_y
_atom_site_fract_z
C1 C 0.0248 0.0248 0.0248
C2 C 0.1087 0.1087 0.1087
C3 C 0.1584 0.1584 0.1584
C4 C 0.3748 0.3748 0.3748
C5 C 0.4253 0.4253 0.4253
C6 C 0.5747 0.5747 0.5747
C7 C 0.6252 0.6252 0.6252
C8 C 0.8416 0.8416 0.8416
C9 C 0.8913 0.8913 0.8913
C10 C 0.9752 0.9752 0.9752



Number 1: electronic total energy -0.278 hartree per atom. Number 2: electronic total energy -0.245 hartree per atom. Number 3: electronic total energy -0.333 hartree per atom.